1.
Crystalline ScMnTe2 at its relaxed geometry. Source: the Alexandria database, functional GGA-PBE.

It has space group Fm-3m (No. 225), with a = 6.8749 Å, b = 6.8749 Å, c = 6.8749 Å, α = 90.00°, β = 90.00° and γ = 90.00°. The distinct sites, in fractional coordinates, are Sc at (0.0000, 0.0000, 0.0000), Mn at (0.0000, 0.0000, 0.5000) and Te at (0.2500, 0.2500, 0.2500).

The calculation puts the uncorrected formation energy at -0.10 eV/f.u.

2.
Crystalline SrMg5Ir2 at its relaxed geometry. Source: the Alexandria database, functional GGA-PBE.

It has space group Immm (No. 71), with a = 4.3151 Å, b = 8.1297 Å, c = 10.2671 Å, α = 90.00°, β = 90.00° and γ = 90.00°. The distinct sites, in fractional coordinates, are Sr at (0.0000, 0.0000, 0.0000), Mg at (0.0000, 0.1819, 0.3281), Mg at (0.0000, 0.5000, 0.0000) and Ir at (0.0000, 0.5000, 0.2513).

As for the formation energy: -301 meV per atom.

3.
Crystalline LiPrYSi at its relaxed geometry. Source: the Alexandria database, functional GGA-PBE.

It has space group F-43m (No. 216), with a = 7.1983 Å, b = 7.1983 Å, c = 7.1983 Å, α = 90.00°, β = 90.00° and γ = 90.00°. The distinct sites, in fractional coordinates, are Li at (0.0000, 0.0000, 0.0000), Pr at (0.2500, 0.2500, 0.2500), Y at (0.2500, 0.2500, 0.7500) and Si at (0.0000, 0.0000, 0.5000).

The calculation puts the uncorrected formation energy at -1.44 eV/f.u.

4.
Crystalline BaSr2I at its relaxed geometry. Source: the Alexandria database, functional GGA-PBE.

It has space group R-3m (No. 166, hexagonal axes), with a = 4.3416 Å, b = 4.3416 Å, c = 36.5492 Å, α = 90.00°, β = 90.00° and γ = 120.00°. The distinct sites, in fractional coordinates, are Ba at (0.0000, 0.0000, 0.0000), Sr at (0.0000, 0.0000, 0.2361) and I at (0.0000, 0.0000, 0.5000).

The calculation puts the uncorrected formation energy at -2.38 eV/f.u. The energy above the most stable polymorph in this dataset is 0.01 eV/f.u.

5.
Crystalline SrPd3Pt2 at its relaxed geometry. Source: the Alexandria database, functional GGA-PBE.

It has space group Cmcm (No. 63), with a = 10.0211 Å, b = 9.0903 Å, c = 5.3259 Å, α = 90.00°, β = 90.00° and γ = 90.00°. The distinct sites, in fractional coordinates, are Sr at (0.0000, 0.1902, 0.2500), Pd at (0.0000, 0.4609, 0.7500), Pd at (0.1992, 0.2441, 0.7500) and Pt at (0.2376, 0.5000, 0.0000).

As for the formation energy: -359 meV per atom.

6.
Crystalline NaCaDyPb at its relaxed geometry. Source: the Alexandria database, functional GGA-PBE.

It has space group F-43m (No. 216), with a = 7.7805 Å, b = 7.7805 Å, c = 7.7805 Å, α = 90.00°, β = 90.00° and γ = 90.00°. The distinct sites, in fractional coordinates, are Na at (0.0000, 0.0000, 0.0000), Ca at (0.2500, 0.2500, 0.2500), Dy at (0.2500, 0.2500, 0.7500) and Pb at (0.0000, 0.0000, 0.5000).

As for the formation energy: -196 meV per atom.

7.
Crystalline LaZn2IrBr at its relaxed geometry. Source: the Alexandria database, functional GGA-PBE.

It has space group P4/mmm (No. 123), with a = 6.0222 Å, b = 6.0222 Å, c = 5.6191 Å, α = 90.00°, β = 90.00° and γ = 90.00°. The distinct sites, in fractional coordinates, are La at (0.0000, 0.0000, 0.0000), Zn at (0.0000, 0.5000, 0.0000), Ir at (0.5000, 0.5000, 0.5000) and Br at (0.0000, 0.0000, 0.5000).

The calculation puts the uncorrected formation energy at 5.70 eV/f.u. The energy above the most stable polymorph in this dataset is 8.95 eV/f.u.

8.
Crystalline Rb2BeCdCl6 at its relaxed geometry. Source: the Alexandria database, functional GGA-PBE.

It has space group I4/mmm (No. 139), with a = 7.0128 Å, b = 7.0128 Å, c = 10.7349 Å, α = 90.00°, β = 90.00° and γ = 90.00°. The distinct sites, in fractional coordinates, are Rb at (0.0000, 0.5000, 0.2500), Be at (0.0000, 0.0000, 0.0000), Cd at (0.0000, 0.0000, 0.5000), Cl at (0.0000, 0.0000, 0.2686) and Cl at (0.2197, 0.2197, 0.0000).

The calculation puts the uncorrected formation energy at -14.15 eV/f.u.

9.
Crystalline ZnAg2SnCl6 at its relaxed geometry. Source: the Alexandria database, functional GGA-PBE.

It has space group P1 (No. 1), with a = 6.8391 Å, b = 6.8423 Å, c = 7.3003 Å, α = 90.01°, β = 117.88° and γ = 119.94°. The distinct sites, in fractional coordinates, are Zn at (0.0000, 0.0000, 0.0000), Ag at (0.5793, 0.7892, 0.3697), Ag at (0.6087, 0.3045, 0.9145), Sn at (0.0089, 0.5042, 0.5137), Cl at (0.1140, 0.9082, 0.7385), Cl at (0.1191, 0.7530, 0.2084), Cl at (0.4549, 0.3657, 0.2081), Cl at (0.5320, 0.6241, 0.7383), Cl at (0.8296, 0.2060, 0.7388) and Cl at (0.8425, 0.0887, 0.2090).

The calculation puts the uncorrected formation energy at -7.64 eV/f.u.

10.
Crystalline LiNd3Sc2Se6 at its relaxed geometry. Source: the Alexandria database, functional GGA-PBE.

It has space group C2/m (No. 12), with a = 6.9923 Å, b = 12.1211 Å, c = 7.0809 Å, α = 90.00°, β = 109.29° and γ = 90.00°. The distinct sites, in fractional coordinates, are Li at (0.0000, 0.0000, 0.0000), Nd at (0.0000, 0.1645, 0.5000), Nd at (0.0000, 0.5000, 0.5000), Sc at (0.0000, 0.3349, 0.0000), Se at (0.2401, 0.1663, 0.2230) and Se at (0.2423, 0.5000, 0.2189).

The calculation puts the uncorrected formation energy at -20.51 eV/f.u.

11.
Crystalline AgBiCl3 at its relaxed geometry. Source: the Alexandria database, functional GGA-PBE.

It has space group Pm-3m (No. 221), with a = 5.0702 Å, b = 5.0702 Å, c = 5.0702 Å, α = 90.00°, β = 90.00° and γ = 90.00°. The distinct sites, in fractional coordinates, are Ag at (0.0000, 0.0000, 0.0000), Bi at (0.5000, 0.5000, 0.5000) and Cl at (0.0000, 0.0000, 0.5000).

The calculation puts the uncorrected formation energy at -0.64 eV/f.u. The energy above the most stable polymorph in this dataset is 2.19 eV/f.u.

12.
Crystalline Ac2Mg2Pb3 at its relaxed geometry. Source: the Alexandria database, functional GGA-PBE.

It has space group C2/m (No. 12), with a = 17.6195 Å, b = 4.8886 Å, c = 13.5880 Å, α = 90.00°, β = 126.40° and γ = 90.00°. The distinct sites, in fractional coordinates, are Ac at (0.0957, 0.0000, 0.4377), Ac at (0.2357, 0.0000, 0.8366), Mg at (0.0423, 0.5000, 0.8194), Mg at (0.0892, 0.0000, 0.1582), Pb at (0.0891, 0.5000, 0.6318), Pb at (0.1208, 0.0000, 0.9665) and Pb at (0.1681, 0.5000, 0.3240).

As for the formation energy: -375 meV per atom.